*P*
# Nd6YIn2

A geometry-optimized Nd6YIn2 structure (PBE, the Alexandria database).

Cell: 6.862 6.862 12.131 Å, 107.46 107.46 32.62°
Sites, in units of the cell vectors:
Nd 0.017 0.017 0.339
Nd 0.307 0.307 0.409
Nd 0.318 0.318 0.123
Nd 0.682 0.682 0.877
Nd 0.693 0.693 0.591
Nd 0.983 0.983 0.661
Y 0.000 0.000 0.000
In 0.359 0.359 0.803
In 0.641 0.641 0.197

*Q*
# Nd6YIn2

A geometry-optimized Nd6YIn2 structure (PBE, the Alexandria database).

Cell: 9.973 9.973 3.487 Å, 100.01 100.01 56.91°
Sites, in units of the cell vectors:
Nd 0.143 0.516 0.830
Nd 0.163 0.837 0.000
Nd 0.484 0.857 0.170
Nd 0.516 0.143 0.830
Nd 0.837 0.163 0.000
Nd 0.857 0.484 0.170
Y 0.500 0.500 0.500
In 0.153 0.153 0.652
In 0.847 0.847 0.348

How do the energies compare? Relative to the most stable structure, in meV/atom: *P* 0; *Q* 121.

*P*
# Nd4YIn3

A geometry-optimized Nd4YIn3 structure (PBE, the Alexandria database).

Cell: 11.323 7.003 5.997 Å, 90.00 90.00 90.00°
Sites, in units of the cell vectors:
Nd 0.000 0.246 0.000
Nd 0.000 0.754 0.000
Nd 0.250 0.240 0.367
Nd 0.250 0.760 0.367
Nd 0.500 0.246 0.000
Nd 0.500 0.754 0.000
Nd 0.750 0.240 0.633
Nd 0.750 0.760 0.633
Y 0.000 0.500 0.500
Y 0.500 0.500 0.500
In 0.000 0.000 0.500
In 0.250 0.000 0.857
In 0.250 0.500 0.850
In 0.500 0.000 0.500
In 0.750 0.000 0.143
In 0.750 0.500 0.150

*Q*
# Nd4YIn3

A geometry-optimized Nd4YIn3 structure (PBE, the Alexandria database).

Cell: 11.957 11.957 5.474 Å, 102.68 102.68 18.48°
Sites, in units of the cell vectors:
Nd 0.122 0.122 0.132
Nd 0.232 0.232 0.733
Nd 0.768 0.768 0.267
Nd 0.878 0.878 0.868
Y 0.000 0.000 0.500
In 0.386 0.386 0.372
In 0.500 0.500 0.000
In 0.614 0.614 0.628

How do the energies compare? Relative to the most stable structure, in meV/atom: *P* 38; *Q* 0.